# 1
# ScPIr2 | Alexandria | meta-GGA SCAN | single point on PBEsol structure
# Energy, Ha/atom: -1.55065
# Formation enthalpy at 0 K, eV per atom: -0.49
# Calculated density, g cm⁻³: 12.9
data_ScPIr2
_chemical_formula_sum 'Sc1 P1 Ir2'
_cell_length_a 3.192
_cell_length_b 3.192
_cell_length_c 5.811
_cell_angle_alpha 90.00
_cell_angle_beta 90.00
_cell_angle_gamma 90.00
_symmetry_space_group_name_H-M 'P 4/m m m'
_symmetry_Int_Tables_number 123
_symmetry_space_group_name_Hall '-P 4 2'
loop_
_atom_site_label
_atom_site_type_symbol
_atom_site_fract_x
_atom_site_fract_y
_atom_site_fract_z
_atom_site_occupancy
Sc1 Sc 0.000 0.000 0.000 1
P1 P 0.000 0.000 0.500 1
Ir1 Ir 0.500 0.500 0.266 1

# 2
# MnPtAu2 | Alexandria | meta-GGA SCAN | single point on PBEsol structure
# Energy, Ha/atom: -2.09715
# Formation enthalpy at 0 K, eV per atom: -0.38
# Calculated density, g cm⁻³: 17.1
data_MnPtAu2
_chemical_formula_sum 'Mn1 Pt1 Au2'
_cell_length_a 2.912
_cell_length_b 3.777
_cell_length_c 5.693
_cell_angle_alpha 90.00
_cell_angle_beta 90.00
_cell_angle_gamma 90.00
_symmetry_space_group_name_H-M 'P m m 2'
_symmetry_Int_Tables_number 25
loop_
_symmetry_equiv_pos_as_xyz
'x,y,z'
'-x,-y,z'
'-x,y,z'
'x,-y,z'
loop_
_atom_site_label
_atom_site_type_symbol
_atom_site_fract_x
_atom_site_fract_y
_atom_site_fract_z
_atom_site_occupancy
Mn1 Mn 0.000 0.000 0.000 1
Pt1 Pt 0.500 0.500 0.224 1
Au1 Au 0.000 0.000 0.486 1
Au2 Au 0.500 0.500 0.745 1

# 3
# TaFePt2 | Alexandria | meta-GGA SCAN | single point on PBEsol structure
# Energy, Ha/atom: -2.09315
# Formation enthalpy at 0 K, eV per atom: -0.68
# Calculated density, g cm⁻³: 17.9
# Energy above the lowest structure with this stoichiometry, meV/atom: 59
data_TaFePt2
_chemical_formula_sum 'Ta1 Fe1 Pt2'
_cell_length_a 2.749
_cell_length_b 3.901
_cell_length_c 5.436
_cell_angle_alpha 90.00
_cell_angle_beta 90.00
_cell_angle_gamma 90.00
_symmetry_space_group_name_H-M 'P m m m'
_symmetry_Int_Tables_number 47
loop_
_symmetry_equiv_pos_as_xyz
'x,y,z'
'-x,-y,-z'
'-x,-y,z'
'x,y,-z'
'x,-y,-z'
'-x,y,z'
'-x,y,-z'
'x,-y,z'
loop_
_atom_site_label
_atom_site_type_symbol
_atom_site_fract_x
_atom_site_fract_y
_atom_site_fract_z
_atom_site_occupancy
Ta1 Ta 0.000 0.000 0.000 1
Fe1 Fe 0.000 0.000 0.500 1
Pt1 Pt 0.500 0.500 0.258 1